No. 1
Material: NiAgSb2
Method: DFT, PBE-GGA
State: relaxed

Cell: 4.5898 4.6438 3.8018 Å, 90.00 90.00 90.00°
With the nearest neighbours (Å) after each atom.
Sites, in units of the cell vectors:
Ag: 0.5000 0.0000 0.5000  8 Sb 2.98-3.00, 4 Ni 3.26
Ni: 0.0000 0.5000 0.5000  8 Sb 2.98-3.00, 4 Ag 3.26
Sb: 0.0000 0.0000 0.0000  4 Ag 2.98, 4 Ni 3.00, 4 Sb 3.26
Sb: 0.5000 0.5000 0.0000  4 Ni 2.98, 4 Ag 3.00, 4 Sb 3.26

Properties
- Volume: 81.0 Å³ per cell
- SG: Pmmm
- Raw formation energy: 234 meV/atom


No. 2
Material: NiAgSb6
Method: DFT, PBE-GGA
State: relaxed

Cell: 8.3594 8.3594 8.2170 Å, 108.96 109.10 111.04°
With the nearest neighbours (Å) after each atom.
Sites, in units of the cell vectors:
Ni: 0.0000 0.5000 0.0000  6 Sb 2.58-2.64
Ni: 0.5000 0.0000 0.0000  6 Sb 2.58-2.64
Ag: 0.0000 0.0000 0.5000  6 Sb 2.79-2.87
Ag: 0.5000 0.5000 0.5000  6 Sb 2.79-2.87
Sb: 0.1580 0.6690 0.8270  2 Ni 2.64, 1 Sb 2.95
Sb: 0.8420 0.3310 0.1730  2 Ni 2.64, 1 Sb 2.95
Sb: 0.8504 0.6376 0.4879  2 Ag 2.79, 2 Sb 2.95-2.97
Sb: 0.1496 0.3624 0.5121  2 Ag 2.79, 2 Sb 2.95-2.97
Sb: 0.8105 0.1716 0.6683  1 Ni 2.58, 1 Ag 2.87
Sb: 0.1895 0.8284 0.3317  1 Ni 2.58, 1 Ag 2.87
Sb: 0.4966 0.8577 0.6683  1 Ni 2.58, 1 Ag 2.87
Sb: 0.5034 0.1423 0.3317  1 Ni 2.58, 1 Ag 2.87
Sb: 0.6396 0.8105 0.1384  1 Ni 2.61, 1 Ag 2.84
Sb: 0.3604 0.1895 0.8616  1 Ni 2.61, 1 Ag 2.84
Sb: 0.6721 0.5011 0.8616  1 Ni 2.61, 1 Ag 2.84
Sb: 0.3279 0.4989 0.1384  1 Ni 2.61, 1 Ag 2.84

Properties
- Volume: 438.1 Å³ per cell
- SG: C2/m
- Raw formation energy: -10 meV/atom


No. 3
Material: NiAg2Sb
Method: DFT, PBE-GGA
State: relaxed

Cell: 3.2229 3.2945 7.5655 Å, 64.39 90.00 90.00°
With the nearest neighbours (Å) after each atom.
Sites, in units of the cell vectors:
Ag: 0.0000 0.9761 0.0225  4 Ag 2.86, 4 Sb 3.18-3.20
Ag: 0.5000 0.2283 0.2718  4 Ni 2.80-2.81, 4 Ag 2.86, 1 Sb 2.92
Ni: 0.0000 0.4943 0.5060  4 Sb 2.65-2.66, 4 Ag 2.80-2.81
Sb: 0.5000 0.8013 0.6996  4 Ni 2.65-2.66, 1 Ag 2.92

Properties
- Volume: 72.4 Å³ per cell
- SG: Pm
- Raw formation energy: 79 meV/atom


No. 4
Material: Ni2Ag2Sb
Method: DFT, PBE-GGA
State: relaxed

Cell: 3.2979 3.2979 8.6556 Å, 79.02 79.02 90.00°
With the nearest neighbours (Å) after each atom.
Sites, in units of the cell vectors:
Sb: 0.0000 0.0000 0.0000  8 Ag 3.09, 4 Sb 3.30
Ag: 0.3784 0.3784 0.2431  4 Ni 2.70
Ag: 0.6216 0.6216 0.7569  4 Ni 2.70
Ni: 0.7500 0.2500 0.5000  4 Ni 2.33
Ni: 0.2500 0.7500 0.5000  4 Ni 2.33

Properties
- Volume: 90.7 Å³ per cell
- SG: I4/mmm
- Raw formation energy: 396 meV/atom


No. 5
Material: NiAg2Sb
Method: DFT, PBE-GGA
State: relaxed

Cell: 3.9589 3.9589 4.4861 Å, 90.00 90.00 90.00°
With the nearest neighbours (Å) after each atom.
Sites, in units of the cell vectors:
Ag: 0.0000 0.0000 0.0000  4 Ag 2.80, 4 Sb 2.99, 4 Ni 2.99
Ag: 0.5000 0.5000 0.0000  4 Ag 2.80, 4 Sb 2.99, 4 Ni 2.99
Ni: 0.5000 0.0000 0.5000  4 Sb 2.80, 8 Ag 2.99
Sb: 0.0000 0.5000 0.5000  4 Ni 2.80, 8 Ag 2.99

Properties
- Volume: 70.3 Å³ per cell
- SG: P4/mmm
- Raw formation energy: 127 meV/atom


No. 6
Material: NiAgSb2
Method: DFT, PBE-GGA
State: relaxed

Cell: 4.8588 4.8588 4.8588 Å, 60.00 60.00 60.00°
With the nearest neighbours (Å) after each atom.
Sites, in units of the cell vectors:
Sb: 0.2500 0.2500 0.2500  4 Ag 2.98, 4 Ni 2.98
Sb: 0.7500 0.7500 0.7500  4 Ag 2.98, 4 Ni 2.98
Ag: 0.5000 0.5000 0.5000  8 Sb 2.98
Ni: 0.0000 0.0000 0.0000  8 Sb 2.98

Properties
- Volume: 81.1 Å³ per cell
- SG: Fm-3m
- Raw formation energy: 230 meV/atom


No. 7
Material: NiAgSb2
Method: DFT, PBE-GGA
State: relaxed

Cell: 3.1859 3.1859 8.0166 Å, 90.00 90.00 95.03°
With the nearest neighbours (Å) after each atom.
Sites, in units of the cell vectors:
Ag: 0.5000 0.5000 0.2500  8 Sb 3.16-3.30, 4 Ag 3.19
Ni: 0.5000 0.5000 0.7500  8 Sb 2.74-2.90
Sb: 0.0000 0.0000 0.9614  4 Ni 2.74-2.90
Sb: 0.0000 0.0000 0.5386  4 Ni 2.74-2.90

Properties
- Volume: 81.1 Å³ per cell
- SG: Cmmm
- Raw formation energy: 115 meV/atom


No. 8
Material: NiAgSb3
Method: DFT, PBE-GGA
State: relaxed

Cell: 5.2992 5.2992 5.2992 Å, 90.00 90.00 90.00°
With the nearest neighbours (Å) after each atom.
Sites, in units of the cell vectors:
Sb: 0.0000 0.5000 0.0000  2 Ag 2.65
Sb: 0.0000 0.0000 0.5000  2 Ag 2.65
Sb: 0.5000 0.0000 0.0000  2 Ag 2.65
Ag: 0.0000 0.0000 0.0000  6 Sb 2.65
Ni: 0.5000 0.5000 0.5000  12 Sb 3.75

Properties
- Volume: 148.8 Å³ per cell
- SG: Pm-3m
- Raw formation energy: 1111 meV/atom


No. 9
Material: NiAg2Sb
Method: DFT, PBE-GGA
State: relaxed

Cell: 3.2618 4.0875 5.4573 Å, 90.00 90.00 90.00°
With the nearest neighbours (Å) after each atom.
Sites, in units of the cell vectors:
Ag: 0.0000 0.0000 0.0108  2 Ag 2.61-2.85, 4 Ni 2.92
Ag: 0.0000 0.0000 0.4892  2 Ag 2.61-2.85, 4 Ni 2.92
Ni: 0.5000 0.5000 0.2500  2 Sb 2.73, 8 Ag 2.92
Sb: 0.5000 0.5000 0.7500  2 Ni 2.73, 8 Ag 2.98

Properties
- Volume: 72.8 Å³ per cell
- SG: Pmmm
- Raw formation energy: 231 meV/atom


No. 10
Material: NiAgSb2
Method: DFT, PBE-GGA
State: relaxed

Cell: 4.9347 7.1789 3.3837 Å, 61.43 90.29 124.29°
With the nearest neighbours (Å) after each atom.
Sites, in units of the cell vectors:
Ag: 0.5000 0.5000 0.0000  8 Sb 2.98-3.00, 2 Ni 3.15
Ni: 0.5000 0.0000 0.5000  8 Sb 2.98-3.00, 2 Ag 3.15
Sb: 0.0000 0.0000 0.0000  4 Ni 2.98-3.00, 4 Ag 2.98-3.00, 2 Sb 3.15
Sb: 0.0000 0.5000 0.5000  4 Ag 2.98-3.00, 4 Ni 2.98-3.00, 2 Sb 3.15

Properties
- Volume: 81.0 Å³ per cell
- SG: C2/m
- Raw formation energy: 234 meV/atom


No. 11
Material: NiAgSb2
Method: DFT, PBE-GGA
State: relaxed

Cell: 6.9960 6.9960 6.9960 Å, 153.97 145.86 43.42°
With the nearest neighbours (Å) after each atom.
Sites, in units of the cell vectors:
Ag: 0.4361 0.4361 0.0000  6 Sb 2.93-3.07, 2 Ag 3.15, 2 Ni 3.16
Ni: 0.2257 0.7257 0.5000  6 Sb 2.64-2.67
Sb: 0.0628 0.0628 0.0000  2 Ni 2.64
Sb: 0.7754 0.2754 0.5000  4 Ni 2.67, 2 Ag 2.93

Properties
- Volume: 84.1 Å³ per cell
- SG: Imm2
- Raw formation energy: 61 meV/atom


No. 12
Material: NiAg2Sb
Method: DFT, PBE-GGA
State: relaxed

Cell: 5.2876 5.2876 5.2876 Å, 136.00 136.00 63.98°
With the nearest neighbours (Å) after each atom.
Sites, in units of the cell vectors:
Ag: 0.0000 0.0000 0.0000  4 Ag 2.80, 4 Sb 2.99, 4 Ni 2.99
Ag: 0.5000 0.5000 0.0000  4 Ag 2.80, 4 Ni 2.99, 4 Sb 2.99
Ni: 0.2500 0.7500 0.5000  4 Sb 2.80, 8 Ag 2.99
Sb: 0.7500 0.2500 0.5000  4 Ni 2.80, 8 Ag 2.99

Properties
- Volume: 70.4 Å³ per cell
- SG: I4/mmm
- Raw formation energy: 127 meV/atom